{"formula": "Mn15Si26", "functional": "PBE-GGA", "state": "optimized geometry", "space_group": "I-42d, No. 122", "dos_at_fermi_per_ev_atom": 0.722, "formation_energy_uncorrected_ev_per_fu": -17.46, "cell": [[5.491, 0.000, 0.000], [0.000, 5.491, 0.000], [-2.745, -2.745, 32.518]], "species": ["Si", "Si", "Mn", "Si", "Mn", "Si", "Si", "Mn", "Si", "Si", "Mn", "Mn", "Si", "Si", "Mn", "Mn", "Si", "Mn", "Mn", "Si", "Mn", "Mn", "Mn", "Si", "Si", "Si", "Si", "Mn", "Si", "Si", "Mn", "Si", "Si", "Mn", "Si", "Si", "Si", "Si", "Si", "Si", "Mn", "Si", "Mn", "Si", "Si", "Mn", "Si", "Si", "Mn", "Si", "Mn", "Mn", "Si", "Si", "Si", "Si", "Mn", "Mn", "Mn", "Si", "Si", "Si", "Si", "Si", "Si", "Si", "Mn", "Si", "Mn", "Si", "Mn", "Si", "Mn", "Si", "Si", "Mn", "Mn", "Si", "Si", "Si", "Si", "Si"], "fractional_positions": [[0.679, 0.651, 0.671], [0.227, 0.185, 0.061], [0.285, 0.785, 0.569], [0.770, 0.242, 0.171], [0.684, 0.184, 0.368], [0.990, 0.914, 0.521], [0.643, 0.201, 0.709], [0.535, 0.535, 0.069], [0.542, 0.877, 0.402], [0.758, 0.599, 0.829], [0.816, 0.316, 0.632], [0.750, 0.250, 0.500], [0.730, 0.735, 0.134], [0.875, 0.472, 0.250], [0.134, 0.134, 0.267], [0.349, 0.849, 0.698], [0.276, 0.110, 0.902], [0.465, 0.465, 0.931], [0.332, 0.332, 0.664], [0.401, 0.929, 0.171], [0.483, 0.983, 0.965], [0.066, 0.066, 0.132], [0.151, 0.651, 0.302], [0.222, 0.125, 0.750], [0.123, 0.140, 0.598], [0.086, 0.469, 0.479], [0.760, 0.643, 0.979], [0.949, 0.449, 0.898], [0.860, 0.526, 0.402], [0.626, 0.084, 0.561], [0.599, 0.599, 0.198], [0.107, 0.742, 0.791], [0.834, 0.876, 0.061], [0.884, 0.384, 0.767], [0.627, 0.792, 0.902], [0.346, 0.515, 0.366], [0.357, 0.781, 0.021], [0.149, 0.654, 0.634], [0.951, 0.893, 0.209], [0.258, 0.316, 0.209], [0.401, 0.401, 0.802], [0.935, 0.477, 0.561], [0.801, 0.801, 0.602], [0.265, 0.596, 0.866], [0.020, 0.851, 0.366], [0.866, 0.866, 0.733], [0.208, 0.724, 0.098], [0.528, 0.625, 0.750], [0.267, 0.267, 0.535], [0.992, 0.020, 0.671], [0.017, 0.517, 0.035], [0.418, 0.918, 0.836], [0.375, 0.778, 0.250], [0.523, 0.374, 0.439], [0.219, 0.336, 0.979], [0.815, 0.166, 0.939], [0.551, 0.051, 0.102], [0.616, 0.116, 0.233], [0.199, 0.199, 0.398], [0.890, 0.373, 0.098], [0.601, 0.270, 0.866], [0.404, 0.399, 0.134], [0.485, 0.980, 0.634], [0.492, 0.357, 0.291], [0.349, 0.008, 0.329], [0.393, 0.010, 0.479], [0.733, 0.733, 0.465], [0.664, 0.240, 0.021], [0.668, 0.668, 0.336], [0.066, 0.508, 0.709], [0.934, 0.934, 0.868], [0.531, 0.607, 0.521], [0.082, 0.582, 0.164], [0.980, 0.321, 0.329], [0.799, 0.934, 0.291], [0.000, 0.000, 0.000], [0.215, 0.715, 0.431], [0.474, 0.458, 0.598], [0.071, 0.230, 0.829], [0.684, 0.049, 0.791], [0.916, 0.065, 0.439], [0.124, 0.773, 0.939]]}

---

{"formula": "LaSeBr", "functional": "PBE-GGA", "state": "optimized geometry", "space_group": "I4mm, No. 107", "dos_at_fermi_per_ev_atom": 0.009, "formation_energy_uncorrected_ev_per_fu": -5.22, "cell": [[7.129, -0.031, 0.033], [6.131, 3.640, 0.038], [0.998, 0.270, 3.660]], "species": ["Se", "La", "Br"], "fractional_positions": [[0.712, 0.712, 0.288], [0.319, 0.319, 0.681], [0.969, 0.969, 0.031]]}

---

{"formula": "LiV2Rh", "functional": "PBE-GGA", "state": "optimized geometry", "space_group": "I-42d, No. 122", "dos_at_fermi_per_ev_atom": 1.334, "delta_e_f_ev_per_atom": 0.383, "cell": [[-0.241, 6.664, -1.688], [-3.035, -1.619, -5.957], [-3.845, 2.715, -2.750]], "species": ["V", "V", "V", "Rh", "Li", "Li", "V", "Rh"], "fractional_positions": [[0.375, 0.351, 0.750], [0.875, 0.899, 0.750], [0.101, 0.625, 0.250], [0.750, 0.250, 0.500], [0.250, 0.750, 0.500], [0.500, 0.500, 0.000], [0.649, 0.125, 0.250], [0.000, 0.000, 0.000]]}

---

{"formula": "SrFe2CoRh", "functional": "PBE-GGA", "state": "optimized geometry", "space_group": "P4/mmm, No. 123", "dos_at_fermi_per_ev_atom": 1.388, "delta_e_f_ev_per_atom": 0.692, "cell": [[4.722, 0.000, 0.000], [0.000, 4.742, 0.000], [0.000, 0.000, 4.722]], "species": ["Fe", "Rh", "Fe", "Co", "Sr"], "fractional_positions": [[0.000, 0.000, 0.500], [0.000, 0.000, 0.000], [0.500, 0.000, 0.000], [0.000, 0.500, 0.000], [0.500, 0.500, 0.500]]}

---

{"formula": "Tb3Sc2Tl", "functional": "PBE-GGA", "state": "optimized geometry", "space_group": "Cmmm, No. 65", "dos_at_fermi_per_ev_atom": 1.231, "delta_e_f_ev_per_atom": -0.071, "cell": [[3.620, 0.000, -1.145], [0.000, 5.352, 0.000], [0.696, 0.000, 8.494]], "species": ["Tl", "Sc", "Tb", "Tb", "Sc", "Tb"], "fractional_positions": [[0.000, 0.000, 0.000], [0.177, 0.500, 0.355], [0.663, 0.000, 0.326], [0.500, 0.500, 0.000], [0.823, 0.500, 0.645], [0.337, 0.000, 0.674]]}

---

{"formula": "TlAgSe", "functional": "PBE-GGA", "state": "optimized geometry", "space_group": "F-43m, No. 216", "formation_energy_uncorrected_ev_per_fu": -0.36, "cell": [[4.830, 0.000, 0.000], [2.415, 4.183, 0.000], [2.415, 1.394, 3.944]], "species": ["Tl", "Ag", "Se"], "fractional_positions": [[0.500, 0.500, 0.500], [0.750, 0.750, 0.750], [0.000, 0.000, 0.000]]}

---

{"formula": "Pu2NbPd", "functional": "PBE-GGA", "state": "optimized geometry", "space_group": "P4/mmm, No. 123", "dos_at_fermi_per_ev_atom": 2.527, "delta_e_f_ev_per_atom": 0.088, "cell": [[-2.560, -1.123, -3.596], [2.801, -3.045, -1.043], [-2.147, -2.797, 2.402]], "species": ["Pu", "Pd", "Pu", "Nb"], "fractional_positions": [[0.000, 0.000, 0.500], [0.500, 0.500, 0.500], [0.000, 0.500, 0.000], [0.500, 0.000, 0.000]]}

---

{"formula": "LiAg2As", "functional": "PBE-GGA", "state": "optimized geometry", "space_group": "Cm, No. 8", "dos_at_fermi_per_ev_atom": 0.213, "delta_e_f_ev_per_atom": -0.113, "cell": [[-0.782, -0.719, 4.642], [0.885, -3.014, 3.579], [4.301, 2.242, 1.902]], "species": ["Ag", "As", "Li", "Ag"], "fractional_positions": [[0.753, 0.753, 0.740], [0.499, 0.499, 0.477], [0.244, 0.244, 0.270], [0.003, 0.003, 0.013]]}